Entry 1:
The following is a GGA-PBE calculation of an optimized crystal structure of CuSbAu3, from the Alexandria database.

Output
The value obtained for the excess energy over the best structure of this formula in the dataset is 0 meV per atom. Its electronic total energy is -3.485 eV per atom. The energy relative to the elements, uncorrected is 125 meV per atom.

a = 6.7446 Å, b = 6.7446 Å, c = 5.0040 Å
α = 90.00°, β = 90.00°, γ = 120.00°
Space group P6_3/mmc (No. 194)
Unique sites:
Cu 0.0000 0.0000 0.0000 x2
Sb 0.3333 0.6667 0.2500 x2
Au 0.1920 0.3841 0.7500 x6

---

Entry 2:
The following is a GGA-PBE calculation of an optimized crystal structure of CuW2SeI, from the Alexandria database.

Output
The value obtained for the excess energy over the best structure of this formula in the dataset is 0 meV per atom. Its electronic total energy is -5.163 eV per atom. The energy relative to the elements, uncorrected is 1844 meV per atom.

a = 4.842 Å, b = 4.842 Å, c = 4.425 Å
α = 90.00°, β = 90.00°, γ = 90.00°
Space group P4/mmm (No. 123)
Unique sites:
Cu 0.000 0.000 0.000 x1
W 0.000 0.500 0.000 x2
Se 0.000 0.000 0.500 x1
I 0.500 0.500 0.500 x1

---

Entry 3:
The following is a GGA-PBE calculation of an optimized crystal structure of TcP2RhCl, from the Alexandria database.

Output
The value obtained for the excess energy over the best structure of this formula in the dataset is 147 meV per atom. Its electronic total energy is -5.157 eV per atom. The energy relative to the elements, uncorrected is 920 meV per atom.

a = 4.569 Å, b = 4.569 Å, c = 4.823 Å
α = 90.00°, β = 90.00°, γ = 90.00°
Space group P4/mmm (No. 123)
Unique sites:
Tc 0.000 0.000 0.000 x1
P 0.000 0.500 0.500 x2
Rh 0.500 0.500 0.500 x1
Cl 0.500 0.500 0.000 x1

---

Entry 4:
The following is a GGA-PBE calculation of an optimized crystal structure of Ga2PdPb2, from the Alexandria database.

Output
The value obtained for the excess energy over the best structure of this formula in the dataset is 489 meV per atom. Its electronic total energy is -3.350 eV per atom.

a = 4.648 Å, b = 4.648 Å, c = 11.928 Å
α = 90.00°, β = 90.00°, γ = 90.00°
Space group I4/mmm (No. 139)
Unique sites:
Ga 0.000 0.000 0.099 x4
Pd 0.000 0.000 0.500 x2
Pb 0.000 0.500 0.250 x4

---

Entry 5:
The following is a GGA-PBE calculation of an optimized crystal structure of La2Tb2Pr7, from the Alexandria database.

Output
The value obtained for the excess energy over the best structure of this formula in the dataset is 174 meV per atom. Its electronic total energy is -4.474 eV per atom.

a = 6.812 Å, b = 12.452 Å, c = 9.638 Å
α = 90.00°, β = 90.00°, γ = 90.00°
Space group Cmmm (No. 65)
Unique sites:
La 0.249 0.000 0.000 x4
Tb 0.000 0.267 0.500 x4
Pr 0.000 0.000 0.500 x2
Pr 0.000 0.500 0.323 x4
Pr 0.250 0.250 0.184 x8

---

Entry 6:
The following is a GGA-PBE calculation of an optimized crystal structure of Dy5SnSe4, from the Alexandria database.

Output
Its electronic total energy is -5.657 eV per atom. The energy relative to the elements, uncorrected is -1562 meV per atom.

a = 9.282 Å, b = 9.282 Å, c = 5.861 Å
α = 90.00°, β = 90.00°, γ = 90.00°
Space group I4/m (No. 87)
Unique sites:
Dy 0.000 0.000 0.000 x2
Dy 0.100 0.695 0.500 x8
Sn 0.000 0.000 0.500 x2
Se 0.103 0.700 0.000 x8

---

Entry 7:
The following is a GGA-PBE calculation of an optimized crystal structure of SrTlSnPb, from the Alexandria database.

Output
The value obtained for the excess energy over the best structure of this formula in the dataset is 66 meV per atom. Its electronic total energy is -3.205 eV per atom.

a = 7.986 Å, b = 7.986 Å, c = 7.986 Å
α = 90.00°, β = 90.00°, γ = 90.00°
Space group F-43m (No. 216)
Unique sites:
Sr 0.000 0.000 0.000 x4
Tl 0.250 0.250 0.250 x4
Sn 0.250 0.250 0.750 x4
Pb 0.000 0.000 0.500 x4

---

Entry 8:
The following is a GGA-PBE calculation of an optimized crystal structure of As2HIrSe, from the Alexandria database.

Output
The value obtained for the excess energy over the best structure of this formula in the dataset is 267 meV per atom. Its electronic total energy is -3.985 eV per atom.

a = 4.725 Å, b = 4.725 Å, c = 5.342 Å
α = 90.00°, β = 90.00°, γ = 90.00°
Space group P4/mmm (No. 123)
Unique sites:
As 0.000 0.500 0.000 x2
H 0.000 0.000 0.500 x1
Ir 0.500 0.500 0.000 x1
Se 0.500 0.500 0.500 x1